A:
The following is a DFT calculation (GGA-PBE) of PrTmPt2 after structural relaxation.

Output
M_tot   0.00 μB per atom
ρ   13.00 g cm⁻³

```
PrTmPt2
1.0
0.0000 3.5496 3.5496
3.5496 0.0000 3.5496
3.5496 3.5496 0.0000
Pr Tm Pt
1 1 2
direct
0.0000 0.0000 0.0000
0.5000 0.5000 0.5000
0.2500 0.2500 0.2500
0.7500 0.7500 0.7500
```

***

B:
The following is a DFT calculation (GGA-PBE) of PrTmPt2 after structural relaxation.

Output
M_tot   0.00 μB per atom
ρ   11.73 g cm⁻³

```
PrTmPt2
1.0
2.0719 1.1962 6.6622
-2.0719 1.1962 6.6622
0.0000 -2.3924 6.6622
Pr Tm Pt
1 1 2
direct
0.0000 0.0000 0.0000
0.5000 0.5000 0.5000
0.2431 0.2431 0.2431
0.7569 0.7569 0.7569
```

***

Of them, the most stable is A and the least stable is B.

***

A:
The following is a DFT calculation (GGA-PBE) of Pr2TmPt after structural relaxation.

Output
M_tot   0.00 μB per atom
ρ   9.30 g cm⁻³

```
Pr2TmPt
1.0
3.7357 0.0000 0.0000
0.0000 3.7357 0.0000
0.0000 0.0000 8.2642
Pr Tm Pt
2 1 1
direct
0.0000 0.0000 0.2054
0.0000 0.0000 0.7946
0.5000 0.5000 0.5000
0.5000 0.5000 0.0000
```

***

B:
The following is a DFT calculation (GGA-PBE) of Pr2TmPt after structural relaxation.

Output
M_tot   0.00 μB per atom
ρ   9.32 g cm⁻³

```
Pr2TmPt
1.0
2.5446 -2.5509 0.0000
2.5446 2.5509 0.0000
0.0000 0.0000 8.8619
Pr Tm Pt
2 1 1
direct
0.0000 0.0000 0.0000
0.5000 0.5000 0.3152
0.0000 0.0000 0.6217
0.5000 0.5000 0.7800
```

***

Of them, the most stable is B and the least stable is A.

***

A:
The following is a DFT calculation (GGA-PBE) of PrZn4Pt after structural relaxation.

Output
M_tot   0.00 μB per atom
ρ   8.61 g cm⁻³

```
PrZn4Pt
1.0
2.4152 -6.9751 0.0000
2.4152 6.9751 0.0000
0.0000 0.0000 6.8414
Pr Zn Pt
2 8 2
direct
0.1105 0.8895 0.7500
0.8895 0.1105 0.2500
0.1033 0.8967 0.2500
0.2770 0.7230 0.0731
0.2770 0.7230 0.4269
0.5000 0.5000 0.0000
0.5000 0.5000 0.5000
0.7230 0.2770 0.5731
0.7230 0.2770 0.9269
0.8967 0.1033 0.7500
0.3639 0.6361 0.7500
0.6361 0.3639 0.2500
```

***

B:
The following is a DFT calculation (GGA-PBE) of PrZn4Pt after structural relaxation.

Output
M_tot   0.00 μB per atom
ρ   9.43 g cm⁻³

```
PrZn4Pt
1.0
0.0000 3.7470 3.7470
3.7470 0.0000 3.7470
3.7470 3.7470 0.0000
Pr Zn Pt
1 4 1
direct
0.0000 0.0000 0.0000
0.1294 0.6235 0.6235
0.6235 0.1294 0.6235
0.6235 0.6235 0.1294
0.6235 0.6235 0.6235
0.2500 0.2500 0.2500
```

***

Of them, the most stable is A and the least stable is B.

***

A:
The following is a DFT calculation (GGA-PBE) of Pr3Zn2Pt3 after structural relaxation.

Output
M_tot   0.00 μB per atom
ρ   10.21 g cm⁻³

```
Pr3Zn2Pt3
1.0
8.5661 0.0000 0.0000
-4.2830 7.4184 0.0000
0.0000 0.0000 5.8274
Pr Zn Pt
6 4 6
direct
0.0000 0.2811 0.2500
0.0000 0.7189 0.7500
0.2811 0.0000 0.2500
0.2811 0.2811 0.7500
0.7189 0.0000 0.7500
0.7189 0.7189 0.2500
0.3333 0.6667 0.0000
0.3333 0.6667 0.5000
0.6667 0.3333 0.0000
0.6667 0.3333 0.5000
0.0000 0.3868 0.7500
0.0000 0.6132 0.2500
0.3868 0.0000 0.7500
0.3868 0.3868 0.2500
0.6132 0.0000 0.2500
0.6132 0.6132 0.7500
```

***

B:
The following is a DFT calculation (GGA-PBE) of Pr3Zn2Pt3 after structural relaxation.

Output
M_tot   0.00 μB per atom
ρ   10.40 g cm⁻³

```
Pr3Zn2Pt3
1.0
2.0943 -5.9616 0.0000
2.0943 5.9616 0.0000
0.0000 0.0000 14.5648
Pr Zn Pt
6 4 6
direct
0.0797 0.9203 0.6082
0.0797 0.9203 0.8918
0.3494 0.6506 0.7500
0.6506 0.3494 0.2500
0.9203 0.0797 0.1082
0.9203 0.0797 0.3918
0.2233 0.7767 0.0842
0.2233 0.7767 0.4158
0.7767 0.2233 0.5842
0.7767 0.2233 0.9158
0.3351 0.6649 0.2500
0.3958 0.6042 0.5454
0.3958 0.6042 0.9546
0.6042 0.3958 0.0454
0.6042 0.3958 0.4546
0.6649 0.3351 0.7500
```

***

Of them, the most stable is B and the least stable is A.

***

A:
The following is a DFT calculation (GGA-PBE) of PrZn3Pt3 after structural relaxation.

Output
M_tot   0.00 μB per atom
ρ   9.64 g cm⁻³

```
PrZn3Pt3
1.0
6.8243 0.0000 0.0000
0.0000 6.8243 0.0000
0.0000 0.0000 6.8243
Pr Zn Pt
2 6 6
direct
0.0000 0.0000 0.0000
0.5000 0.5000 0.5000
0.0000 0.2500 0.5000
0.0000 0.7500 0.5000
0.2500 0.5000 0.0000
0.5000 0.0000 0.2500
0.5000 0.0000 0.7500
0.7500 0.5000 0.0000
0.0000 0.5000 0.2500
0.0000 0.5000 0.7500
0.2500 0.0000 0.5000
0.5000 0.2500 0.0000
0.5000 0.7500 0.0000
0.7500 0.0000 0.5000
```

***

B:
The following is a DFT calculation (GGA-PBE) of PrZn3Pt3 after structural relaxation.

Output
M_tot   0.00 μB per atom
ρ   11.95 g cm⁻³

```
PrZn3Pt3
1.0
8.2941 0.0000 0.0000
-4.1470 7.1829 0.0000
0.0000 0.0000 4.3027
Pr Zn Pt
2 6 6
direct
0.3333 0.6667 0.2500
0.6667 0.3333 0.7500
0.0048 0.2221 0.2500
0.2173 0.9952 0.2500
0.2221 0.2173 0.7500
0.7779 0.7827 0.2500
0.7827 0.0048 0.7500
0.9952 0.7779 0.7500
0.0472 0.4108 0.7500
0.3636 0.9528 0.7500
0.4108 0.3636 0.2500
0.5892 0.6364 0.7500
0.6364 0.0472 0.2500
0.9528 0.5892 0.2500
```

***

Of them, the most stable is B and the least stable is A.

***

A:
The following is a DFT calculation (GGA-PBE) of PrZn3Pt after structural relaxation.

Output
M_tot   0.00 μB per atom
ρ   9.31 g cm⁻³

```
PrZn3Pt
1.0
5.7007 0.0000 0.0000
0.0000 5.5681 0.0000
-0.3461 0.0000 5.9832
Pr Zn Pt
2 6 2
direct
0.1664 0.2500 0.1706
0.8336 0.7500 0.8294
0.3208 0.0024 0.6715
0.3208 0.4976 0.6715
0.3735 0.7500 0.0594
0.6265 0.2500 0.9406
0.6792 0.5024 0.3285
0.6792 0.9976 0.3285
0.0741 0.7500 0.3651
0.9259 0.2500 0.6349
```

***

B:
The following is a DFT calculation (GGA-PBE) of PrZn3Pt after structural relaxation.

Output
M_tot   0.00 μB per atom
ρ   9.04 g cm⁻³

```
PrZn3Pt
1.0
2.9716 -5.7488 0.0000
2.9716 5.7488 0.0000
0.0000 0.0000 5.7227
Pr Zn Pt
2 6 2
direct
0.2481 0.7519 0.7500
0.7519 0.2481 0.2500
0.1317 0.8683 0.2500
0.2593 0.2593 0.0000
0.2593 0.2593 0.5000
0.7407 0.7407 0.0000
0.7407 0.7407 0.5000
0.8683 0.1317 0.7500
0.3541 0.6459 0.2500
0.6459 0.3541 0.7500
```

***

Of them, the most stable is B and the least stable is A.